[1]
## KAg2Au (PBE)

Data for a relaxed structure of KAg2Au.

Values from the calculation:
Crystal system: orthorhombic
Offset from the most stable computed form in eV/atom: 0.2849
E_form in meV per atom: 181
Spin magnetization in Bohr magnetons per cell: 0.0
Space-group type: No. 65

Cell lengths 5.5549, 5.5549, 2.9756 Å; angles 90.00, 90.00, 109.39 degrees
Sites, in units of the cell vectors:
K (0.0000, 0.0000, 0.0000)
Ag (0.0000, 0.5000, 0.5000)
Ag (0.5000, 0.0000, 0.5000)
Au (0.5000, 0.5000, 0.0000)



[2]
## MnCo4Tc (PBE)

Data for a relaxed structure of MnCo4Tc.

Values from the calculation:
Crystal system: cubic
E_form in meV per atom: 136
Spin magnetization in Bohr magnetons per cell: 6.5
Space-group type: No. 216

Cell lengths 4.6356, 4.6356, 4.6356 Å; angles 60.00, 60.00, 60.00 degrees
Sites, in units of the cell vectors:
Mn (0.0000, 0.0000, 0.0000)
Co (0.1244, 0.6252, 0.6252)
Co (0.6252, 0.1244, 0.6252)
Co (0.6252, 0.6252, 0.1244)
Co (0.6252, 0.6252, 0.6252)
Tc (0.2500, 0.2500, 0.2500)



[3]
## La4SnAsSe2 (PBE)

Data for a relaxed structure of La4SnAsSe2.

Values from the calculation:
Crystal system: monoclinic
E_form (uncorrected) in meV/atom: -1592
Spin magnetization in Bohr magnetons per cell: 0.0
Space-group type: No. 10

Cell lengths 7.6372, 4.4363, 7.6895 Å; angles 90.00, 109.62, 90.00 degrees
Sites, in units of the cell vectors:
La (0.2456, 0.0000, 0.2423)
La (0.2522, 0.5000, 0.7574)
La (0.7478, 0.5000, 0.2426)
La (0.7544, 0.0000, 0.7577)
Sn (0.0000, 0.0000, 0.5000)
As (0.0000, 0.5000, 0.0000)
Se (0.5000, 0.0000, 0.0000)
Se (0.5000, 0.5000, 0.5000)



[4]
## Ho4CdIn2Rh (PBE)

Data for a relaxed structure of Ho4CdIn2Rh.

Values from the calculation:
Crystal system: trigonal
E_form in meV per atom: -514
Spin magnetization in Bohr magnetons per cell: 0.0
Space-group type: No. 166

Cell lengths 8.8972, 8.8972, 8.8972 Å; angles 33.99, 33.99, 33.99 degrees
Sites, in units of the cell vectors:
Ho (0.1153, 0.1153, 0.1153)
Ho (0.3690, 0.3690, 0.3690)
Ho (0.6310, 0.6310, 0.6310)
Ho (0.8847, 0.8847, 0.8847)
Cd (0.5000, 0.5000, 0.5000)
In (0.2437, 0.2437, 0.2437)
In (0.7563, 0.7563, 0.7563)
Rh (0.0000, 0.0000, 0.0000)



[5]
## RbNpAg2S4 (PBE)

Data for a relaxed structure of RbNpAg2S4.

Values from the calculation:
Crystal system: orthorhombic
E_form (uncorrected) in meV/atom: -580
Spin magnetization in Bohr magnetons per cell: 2.1
Space-group type: No. 23

Cell lengths 6.5894, 6.5894, 6.5894 Å; angles 119.26, 111.00, 98.79 degrees
Sites, in units of the cell vectors:
Rb (0.0000, 0.0000, 0.0000)
Np (0.5000, 0.5000, 0.0000)
Ag (0.3247, 0.8247, 0.5000)
Ag (0.6753, 0.1753, 0.5000)
S (0.1234, 0.1161, 0.5899)
S (0.4738, 0.8839, 0.0073)
S (0.5262, 0.5335, 0.4101)
S (0.8766, 0.4665, 0.9927)



[6]
## PmSb (PBE)

Data for a relaxed structure of PmSb.

Values from the calculation:
Crystal system: monoclinic
Offset from the most stable computed form in eV/atom: 0.1394
E_form (uncorrected) in meV/atom: -1048
Spin magnetization in Bohr magnetons per cell: 0.0
Space-group type: No. 11

Cell lengths 4.2381, 4.7973, 6.3395 Å; angles 90.00, 109.39, 90.00 degrees
Sites, in units of the cell vectors:
Pm (0.1247, 0.2500, 0.2490)
Pm (0.8753, 0.7500, 0.7510)
Sb (0.3868, 0.2500, 0.7742)
Sb (0.6132, 0.7500, 0.2258)



[7]
## NaCeSi2Pt2 (PBE)

Data for a relaxed structure of NaCeSi2Pt2.

Values from the calculation:
Crystal system: trigonal
E_form (uncorrected) in meV/atom: -741
Spin magnetization in Bohr magnetons per cell: 0.3
Space-group type: No. 164

Cell lengths 4.1626, 4.1626, 8.3312 Å; angles 90.00, 90.00, 120.00 degrees
Sites, in units of the cell vectors:
Na (0.0000, 0.0000, 0.0000)
Ce (0.0000, 0.0000, 0.5000)
Si (0.3333, 0.6667, 0.7497)
Si (0.6667, 0.3333, 0.2503)
Pt (0.3333, 0.6667, 0.2664)
Pt (0.6667, 0.3333, 0.7336)



[8]
## K3Pu2I8 (PBE)

Data for a relaxed structure of K3Pu2I8.

Values from the calculation:
Crystal system: monoclinic
E_form (uncorrected) in meV/atom: -1214
Spin magnetization in Bohr magnetons per cell: 11.0
Space-group type: No. 12

Cell lengths 10.0197, 10.0197, 8.2559 Å; angles 107.06, 107.06, 53.68 degrees
Sites, in units of the cell vectors:
K (0.0000, 0.0000, 0.0000)
K (0.2671, 0.7329, 0.5000)
K (0.7329, 0.2671, 0.5000)
Pu (0.2557, 0.2557, 0.8364)
Pu (0.7443, 0.7443, 0.1636)
I (0.1061, 0.6202, 0.0846)
I (0.1344, 0.1344, 0.4594)
I (0.3798, 0.8939, 0.9154)
I (0.3883, 0.3883, 0.6722)
I (0.6117, 0.6117, 0.3278)
I (0.6202, 0.1061, 0.0846)
I (0.8656, 0.8656, 0.5406)
I (0.8939, 0.3798, 0.9154)



[9]
## AcAsP (PBE)

Data for a relaxed structure of AcAsP.

Values from the calculation:
Crystal system: orthorhombic
Offset from the most stable computed form in eV/atom: 0.3948
E_form in meV per atom: -443
Spin magnetization in Bohr magnetons per cell: 0.0
Space-group type: No. 42

Cell lengths 6.0007, 5.7063, 3.8712 Å; angles 74.86, 66.62, 38.52 degrees
Sites, in units of the cell vectors:
Ac (0.0000, 0.0000, 0.0000)
As (0.2984, 0.2984, 0.7016)
P (0.6984, 0.6984, 0.3016)



[10]
## Cs3RuCl7 (PBE)

Data for a relaxed structure of Cs3RuCl7.

Values from the calculation:
Crystal system: tetragonal
E_form (uncorrected) in meV/atom: -1356
Spin magnetization in Bohr magnetons per cell: 4.0
Space-group type: No. 127

Cell lengths 10.1894, 10.1894, 7.3077 Å; angles 90.00, 90.00, 90.00 degrees
Sites, in units of the cell vectors:
Cs (0.0000, 0.0000, 0.0000)
Cs (0.1796, 0.3204, 0.5000)
Cs (0.3204, 0.8204, 0.5000)
Cs (0.5000, 0.5000, 0.0000)
Cs (0.6796, 0.1796, 0.5000)
Cs (0.8204, 0.6796, 0.5000)
Ru (0.0000, 0.5000, 0.0000)
Ru (0.5000, 0.0000, 0.0000)
Cl (0.0000, 0.0000, 0.5000)
Cl (0.1149, 0.6149, 0.2283)
Cl (0.1149, 0.6149, 0.7717)
Cl (0.1635, 0.3365, 0.0000)
Cl (0.3365, 0.8365, 0.0000)
Cl (0.3851, 0.1149, 0.2283)
Cl (0.3851, 0.1149, 0.7717)
Cl (0.5000, 0.5000, 0.5000)
Cl (0.6149, 0.8851, 0.2283)
Cl (0.6149, 0.8851, 0.7717)
Cl (0.6635, 0.1635, 0.0000)
Cl (0.8365, 0.6635, 0.0000)
Cl (0.8851, 0.3851, 0.2283)
Cl (0.8851, 0.3851, 0.7717)



[11]
## Li4MgU3Se8 (PBE)

Data for a relaxed structure of Li4MgU3Se8.

Values from the calculation:
Crystal system: trigonal
E_form (uncorrected) in meV/atom: -1200
Spin magnetization in Bohr magnetons per cell: 8.0
Space-group type: No. 166

Cell lengths 8.0207, 8.0207, 8.0207 Å; angles 59.93, 59.93, 59.93 degrees
Sites, in units of the cell vectors:
Li (0.0000, 0.0000, 0.0000)
Li (0.0000, 0.5000, 0.5000)
Li (0.5000, 0.0000, 0.5000)
Li (0.5000, 0.5000, 0.0000)
Mg (0.5000, 0.5000, 0.5000)
U (0.0000, 0.0000, 0.5000)
U (0.0000, 0.5000, 0.0000)
U (0.5000, 0.0000, 0.0000)
Se (0.2528, 0.2528, 0.7414)
Se (0.2528, 0.7414, 0.2528)
Se (0.2540, 0.2540, 0.2540)
Se (0.2586, 0.7472, 0.7472)
Se (0.7414, 0.2528, 0.2528)
Se (0.7460, 0.7460, 0.7460)
Se (0.7472, 0.2586, 0.7472)
Se (0.7472, 0.7472, 0.2586)



[12]
## Rb2DyBeO4 (PBE)

Data for a relaxed structure of Rb2DyBeO4.

Values from the calculation:
Crystal system: orthorhombic
E_form (uncorrected) in meV/atom: -1854
Spin magnetization in Bohr magnetons per cell: 2.0
Space-group type: No. 70

Cell lengths 13.0722, 11.8746, 6.5480 Å; angles 85.20, 64.85, 29.94 degrees
Sites, in units of the cell vectors:
Rb (0.0542, 0.0542, 0.6958)
Rb (0.3042, 0.3042, 0.9458)
Rb (0.6958, 0.6958, 0.0542)
Rb (0.9458, 0.9458, 0.3042)
Dy (0.1250, 0.1250, 0.1250)
Dy (0.8750, 0.8750, 0.8750)
Be (0.3750, 0.3750, 0.3750)
Be (0.6250, 0.6250, 0.6250)
O (0.0623, 0.6064, 0.5186)
O (0.3126, 0.5186, 0.6064)
O (0.3936, 0.9377, 0.6874)
O (0.4814, 0.6874, 0.9377)
O (0.5186, 0.3126, 0.0623)
O (0.6064, 0.0623, 0.3126)
O (0.6874, 0.4814, 0.3936)
O (0.9377, 0.3936, 0.4814)



[13]
## ZnGaTe3 (PBE)

Data for a relaxed structure of ZnGaTe3.

Values from the calculation:
Crystal system: cubic
Offset from the most stable computed form in eV/atom: 0.5180
E_form (uncorrected) in meV/atom: 274
Spin magnetization in Bohr magnetons per cell: 0.0
Space-group type: No. 221

Cell lengths 5.3614, 5.3614, 5.3614 Å; angles 90.00, 90.00, 90.00 degrees
Sites, in units of the cell vectors:
Zn (0.0000, 0.0000, 0.0000)
Ga (0.5000, 0.5000, 0.5000)
Te (0.0000, 0.0000, 0.5000)
Te (0.0000, 0.5000, 0.0000)
Te (0.5000, 0.0000, 0.0000)



[14]
## PtClF2 (PBE)

Data for a relaxed structure of PtClF2.

Values from the calculation:
Crystal system: triclinic
Offset from the most stable computed form in eV/atom: 0.0135
E_form (uncorrected) in meV/atom: -849
Spin magnetization in Bohr magnetons per cell: 0.6
Space-group type: No. 1

Cell lengths 3.3821, 4.2833, 5.6925 Å; angles 68.06, 75.55, 89.98 degrees
Sites, in units of the cell vectors:
Pt (0.0000, 0.0000, 0.0000)
Cl (0.6304, 0.1520, 0.6931)
F (0.3894, 0.8729, 0.2564)
F (0.9891, 0.4875, 0.0251)



[15]
## CaMgSb2I (PBE)

Data for a relaxed structure of CaMgSb2I.

Values from the calculation:
Crystal system: tetragonal
Offset from the most stable computed form in eV/atom: 0.0000
E_form (uncorrected) in meV/atom: -156
Spin magnetization in Bohr magnetons per cell: 0.0
Space-group type: No. 123

Cell lengths 5.3709, 5.3709, 5.9318 Å; angles 90.00, 90.00, 90.00 degrees
Sites, in units of the cell vectors:
Ca (0.0000, 0.0000, 0.0000)
Mg (0.5000, 0.5000, 0.5000)
Sb (0.0000, 0.5000, 0.5000)
Sb (0.5000, 0.0000, 0.5000)
I (0.5000, 0.5000, 0.0000)



[16]
## V3S4 (PBE)

Data for a relaxed structure of V3S4.

Values from the calculation:
Crystal system: monoclinic
Offset from the most stable computed form in eV/atom: 0.2531
E_form (uncorrected) in meV/atom: -762
Spin magnetization in Bohr magnetons per cell: 1.7
Space-group type: No. 12

Cell lengths 6.2740, 6.2740, 6.9777 Å; angles 122.03, 122.03, 28.11 degrees
Sites, in units of the cell vectors:
V (0.0000, 0.0000, 0.0000)
V (0.0903, 0.0903, 0.4592)
V (0.9097, 0.9097, 0.5408)
S (0.3382, 0.3382, 0.7239)
S (0.4094, 0.4094, 0.2546)
S (0.5906, 0.5906, 0.7454)
S (0.6618, 0.6618, 0.2761)



[17]
## PuCd4Ag2 (PBE)

Data for a relaxed structure of PuCd4Ag2.

Values from the calculation:
Crystal system: orthorhombic
E_form in meV per atom: -29
Spin magnetization in Bohr magnetons per cell: 6.0
Space-group type: No. 65

Cell lengths 10.0909, 10.0909, 3.0512 Å; angles 90.00, 90.00, 150.46 degrees
Sites, in units of the cell vectors:
Pu (0.0000, 0.0000, 0.0000)
Cd (0.1525, 0.8475, 0.5000)
Cd (0.2960, 0.7040, 0.0000)
Cd (0.7040, 0.2960, 0.0000)
Cd (0.8475, 0.1525, 0.5000)
Ag (0.4276, 0.5724, 0.5000)
Ag (0.5724, 0.4276, 0.5000)



[18]
## CrNiBr2 (PBE)

Data for a relaxed structure of CrNiBr2.

Values from the calculation:
Crystal system: monoclinic
Offset from the most stable computed form in eV/atom: 0.0365
E_form (uncorrected) in meV/atom: -59
Spin magnetization in Bohr magnetons per cell: 4.0
Space-group type: No. 6

Cell lengths 3.6973, 3.6799, 7.0692 Å; angles 90.00, 96.57, 90.00 degrees
Sites, in units of the cell vectors:
Cr (0.0000, 0.0000, 0.0000)
Ni (0.4674, 0.5000, 0.9018)
Br (0.3147, 0.0000, 0.6910)
Br (0.7287, 0.5000, 0.2167)



[19]
## GdTm2Co (PBE)

Data for a relaxed structure of GdTm2Co.

Values from the calculation:
Crystal system: trigonal
Offset from the most stable computed form in eV/atom: 0.0886
E_form in meV per atom: -10
Spin magnetization in Bohr magnetons per cell: 7.8
Space-group type: No. 166

Cell lengths 9.4381, 9.4381, 9.4381 Å; angles 22.38, 22.38, 22.38 degrees
Sites, in units of the cell vectors:
Gd (0.0000, 0.0000, 0.0000)
Tm (0.2228, 0.2228, 0.2228)
Tm (0.7772, 0.7772, 0.7772)
Co (0.5000, 0.5000, 0.5000)



[20]
## Mg4CuAs (PBE)

Data for a relaxed structure of Mg4CuAs.

Values from the calculation:
Crystal system: cubic
E_form in meV per atom: 281
Spin magnetization in Bohr magnetons per cell: 0.0
Space-group type: No. 216

Cell lengths 5.6213, 5.6213, 5.6213 Å; angles 60.00, 60.00, 60.00 degrees
Sites, in units of the cell vectors:
Mg (0.1247, 0.1247, 0.1247)
Mg (0.1247, 0.1247, 0.6260)
Mg (0.1247, 0.6260, 0.1247)
Mg (0.6260, 0.1247, 0.1247)
Cu (0.5000, 0.5000, 0.5000)
As (0.7500, 0.7500, 0.7500)



[21]
## Zr2HgCl (PBE)

Data for a relaxed structure of Zr2HgCl.

Values from the calculation:
Crystal system: trigonal
Offset from the most stable computed form in eV/atom: 0.1463
E_form (uncorrected) in meV/atom: -398
Spin magnetization in Bohr magnetons per cell: 0.0
Space-group type: No. 166

Cell lengths 9.5597, 9.5597, 9.5597 Å; angles 19.23, 19.23, 19.23 degrees
Sites, in units of the cell vectors:
Zr (0.2440, 0.2440, 0.2440)
Zr (0.7560, 0.7560, 0.7560)
Hg (0.0000, 0.0000, 0.0000)
Cl (0.5000, 0.5000, 0.5000)



[22]
## BiCN2 (PBE)

Data for a relaxed structure of BiCN2.

Values from the calculation:
Crystal system: monoclinic
Offset from the most stable computed form in eV/atom: 0.0000
E_form (uncorrected) in meV/atom: 365
Spin magnetization in Bohr magnetons per cell: 0.0
Space-group type: No. 12

Cell lengths 3.7770, 3.7770, 5.6486 Å; angles 91.08, 91.08, 59.41 degrees
Sites, in units of the cell vectors:
Bi (0.0000, 0.0000, 0.0000)
C (0.5000, 0.5000, 0.5000)
N (0.4952, 0.4952, 0.7182)
N (0.5048, 0.5048, 0.2818)



[23]
## RbIn2SiTc (PBE)

Data for a relaxed structure of RbIn2SiTc.

Values from the calculation:
Crystal system: tetragonal
E_form (uncorrected) in meV/atom: -19
Spin magnetization in Bohr magnetons per cell: 0.0
Space-group type: No. 123

Cell lengths 5.3120, 5.3120, 4.7531 Å; angles 90.00, 90.00, 90.00 degrees
Sites, in units of the cell vectors:
Rb (0.0000, 0.0000, 0.0000)
In (0.0000, 0.5000, 0.5000)
In (0.5000, 0.0000, 0.5000)
Si (0.5000, 0.5000, 0.0000)
Tc (0.5000, 0.5000, 0.5000)



[24]
## Pa2Zn5Au (PBE)

Data for a relaxed structure of Pa2Zn5Au.

Values from the calculation:
Crystal system: orthorhombic
E_form in meV per atom: -144
Spin magnetization in Bohr magnetons per cell: 1.2
Space-group type: No. 63

Cell lengths 8.3525, 8.3525, 8.8458 Å; angles 90.00, 90.00, 150.32 degrees
Sites, in units of the cell vectors:
Pa (0.0000, 0.0000, 0.0000)
Pa (0.0000, 0.0000, 0.5000)
Pa (0.2002, 0.7998, 0.7500)
Pa (0.7998, 0.2002, 0.2500)
Zn (0.1871, 0.8129, 0.1070)
Zn (0.1871, 0.8129, 0.3930)
Zn (0.3461, 0.6539, 0.0223)
Zn (0.3461, 0.6539, 0.4777)
Zn (0.3951, 0.6049, 0.7500)
Zn (0.6049, 0.3951, 0.2500)
Zn (0.6539, 0.3461, 0.5223)
Zn (0.6539, 0.3461, 0.9777)
Zn (0.8129, 0.1871, 0.6070)
Zn (0.8129, 0.1871, 0.8930)
Au (0.4472, 0.5528, 0.2500)
Au (0.5528, 0.4472, 0.7500)



[25]
## Y2ErHg (PBE)

Data for a relaxed structure of Y2ErHg.

Values from the calculation:
Crystal system: tetragonal
Offset from the most stable computed form in eV/atom: 0.0000
E_form in meV per atom: -231
Spin magnetization in Bohr magnetons per cell: 0.0
Space-group type: No. 123

Cell lengths 3.6001, 3.6001, 8.9171 Å; angles 90.00, 90.00, 90.00 degrees
Sites, in units of the cell vectors:
Y (0.0000, 0.0000, 0.2240)
Y (0.0000, 0.0000, 0.7760)
Er (0.5000, 0.5000, 0.5000)
Hg (0.5000, 0.5000, 0.0000)